! Dy2PuSc3S6, relaxed, DFT PBE; values from VASP
&SYSTEM
  ibrav = 0, nat = 12, ntyp = 4
/
ATOMIC_SPECIES
Dy 162.50 Dy.upf
Pu 244.00 Pu.upf
Sc 44.96 Sc.upf
S 32.06 S.upf
CELL_PARAMETERS angstrom
8.305 -1.894 0.000
8.305 1.894 0.000
-1.787 0.000 7.430
ATOMIC_POSITIONS crystal
Dy 0.164 0.164 0.330
Dy 0.836 0.836 0.670
Pu 0.500 0.500 0.000
Sc 0.165 0.165 0.838
Sc 0.500 0.500 0.500
Sc 0.835 0.835 0.162
S 0.004 0.004 0.739
S 0.328 0.328 0.923
S 0.336 0.336 0.407
S 0.664 0.664 0.593
S 0.672 0.672 0.077
S 0.996 0.996 0.261
! * total magnetic moment: 5.854 μB/cell
! * uncorrected energy: -7.513 eV per atom
! * uncorrected formation energy: -1.90 eV/atom